(1)
An optimized crystal structure of VCdO4, computed with GGA+U.

Space group: P2_1/c, No. 14
ρ, g cm⁻³: 3.919
Uncorrected energy, eV per atom: -5.9803

Unit cell a=6.8499 b=6.8303 c=9.1078 alpha=90.00 beta=115.29 gamma=90.00
Element x y z (fractional)
V  0.2418  0.1081  0.3737
V  0.2418  0.3919  0.8737
V  0.7582  0.6081  0.1263
V  0.7582  0.8919  0.6263
Cd  0.3660  0.6180  0.3047
Cd  0.3660  0.8820  0.8047
Cd  0.6340  0.1180  0.1953
Cd  0.6340  0.3820  0.6953
O  0.0159  0.6455  0.2618
O  0.0159  0.8545  0.7618
O  0.2468  0.5175  0.0430
O  0.2468  0.9825  0.5430
O  0.3766  0.1709  0.9355
O  0.3766  0.3291  0.4355
O  0.3809  0.5390  0.7809
O  0.3809  0.9610  0.2809
O  0.6191  0.0390  0.7191
O  0.6191  0.4610  0.2191
O  0.6234  0.6709  0.5645
O  0.6234  0.8291  0.0645
O  0.7532  0.0175  0.4570
O  0.7532  0.4825  0.9570
O  0.9841  0.1455  0.2382
O  0.9841  0.3545  0.7382

(2)
An optimized crystal structure of V2Cd3O8, computed with GGA+U.

Space group: Cmce, No. 64
ρ, g cm⁻³: 5.144
Energy above the most stable polymorph in this dataset, meV/atom: 0

Unit cell a=6.9953 b=6.9953 c=8.9193 alpha=90.00 beta=90.00 gamma=122.97
Element x y z (fractional)
V  0.1174  0.8826  0.8802
V  0.3826  0.6174  0.3802
V  0.6174  0.3826  0.6198
V  0.8826  0.1174  0.1198
Cd  0.0000  0.0000  0.5000
Cd  0.1094  0.3906  0.7500
Cd  0.3906  0.1094  0.2500
Cd  0.5000  0.5000  0.0000
Cd  0.6094  0.8906  0.7500
Cd  0.8906  0.6094  0.2500
O  0.0015  0.9985  0.7527
O  0.0960  0.3285  0.0089
O  0.1715  0.4040  0.4911
O  0.2394  0.7606  0.7786
O  0.2606  0.7394  0.2786
O  0.3285  0.0960  0.9911
O  0.4040  0.1715  0.5089
O  0.4985  0.5015  0.2527
O  0.5015  0.4985  0.7473
O  0.5960  0.8285  0.4911
O  0.6715  0.9040  0.0089
O  0.7394  0.2606  0.7214
O  0.7606  0.2394  0.2214
O  0.8285  0.5960  0.5089
O  0.9040  0.6715  0.9911
O  0.9985  0.0015  0.2473

(3)
An optimized crystal structure of VCd3O, computed with GGA+U.

Space group: Pm-3m, No. 221
ρ, g cm⁻³: 6.650
Energy above the most stable polymorph in this dataset, meV/atom: 0

Unit cell a=4.6558 b=4.6558 c=4.6558 alpha=90.00 beta=90.00 gamma=90.00
Element x y z (fractional)
V  0.0000  0.0000  0.0000
Cd  0.0000  0.5000  0.5000
Cd  0.5000  0.0000  0.5000
Cd  0.5000  0.5000  0.0000
O  0.5000  0.5000  0.5000

(4)
An optimized crystal structure of VCd3O4, computed with GGA+U.

Space group: Pmn2_1, No. 31
ρ, g cm⁻³: 5.771
Uncorrected energy, eV per atom: -4.9344

Unit cell a=6.9612 b=7.0576 c=5.2966 alpha=90.00 beta=90.00 gamma=90.00
Element x y z (fractional)
V  0.0000  0.0788  0.0000
V  0.5000  0.9212  0.5000
Cd  0.0000  0.7174  0.5128
Cd  0.2263  0.3687  0.4985
Cd  0.2737  0.6313  0.9985
Cd  0.5000  0.2826  0.0128
Cd  0.7263  0.6313  0.9985
Cd  0.7737  0.3687  0.4985
O  0.0000  0.1491  0.3134
O  0.0000  0.8235  0.9378
O  0.2037  0.1739  0.8590
O  0.2963  0.8261  0.3590
O  0.5000  0.1765  0.4378
O  0.5000  0.8509  0.8134
O  0.7037  0.8261  0.3590
O  0.7963  0.1739  0.8590

(5)
An optimized crystal structure of V3CdO, computed with GGA+U.

Space group: Pm-3m, No. 221
ρ, g cm⁻³: 5.655
Energy above the most stable polymorph in this dataset, meV/atom: 0

Unit cell a=4.3547 b=4.3547 c=4.3547 alpha=90.00 beta=90.00 gamma=90.00
Element x y z (fractional)
V  0.0000  0.0000  0.5000
V  0.0000  0.5000  0.0000
V  0.5000  0.0000  0.0000
Cd  0.5000  0.5000  0.5000
O  0.0000  0.0000  0.0000

(6)
An optimized crystal structure of V3Cd2O9, computed with GGA+U.

Space group: P6_3/mcm, No. 193
ρ, g cm⁻³: 3.938
Uncorrected energy, eV per atom: -6.4904

Unit cell a=6.8302 b=6.8302 c=10.8881 alpha=90.00 beta=90.00 gamma=120.00
Element x y z (fractional)
V  0.0000  0.2819  0.2500
V  0.0000  0.7181  0.7500
V  0.2819  0.0000  0.2500
V  0.2819  0.2819  0.7500
V  0.7181  0.0000  0.7500
V  0.7181  0.7181  0.2500
Cd  0.3333  0.6667  0.0000
Cd  0.3333  0.6667  0.5000
Cd  0.6667  0.3333  0.0000
Cd  0.6667  0.3333  0.5000
O  0.0000  0.2347  0.7500
O  0.0000  0.4115  0.1131
O  0.0000  0.4115  0.3869
O  0.0000  0.5885  0.6131
O  0.0000  0.5885  0.8869
O  0.0000  0.7653  0.2500
O  0.2347  0.0000  0.7500
O  0.2347  0.2347  0.2500
O  0.4115  0.0000  0.1131
O  0.4115  0.0000  0.3869
O  0.4115  0.4115  0.6131
O  0.4115  0.4115  0.8869
O  0.5885  0.0000  0.6131
O  0.5885  0.0000  0.8869
O  0.5885  0.5885  0.1131
O  0.5885  0.5885  0.3869
O  0.7653  0.0000  0.2500
O  0.7653  0.7653  0.7500

(7)
An optimized crystal structure of V2CdO, computed with GGA+U.

Space group: Fm-3m, No. 225
ρ, g cm⁻³: 5.716
Energy above the most stable polymorph in this dataset, meV/atom: 1063

Unit cell a=6.4440 b=6.4440 c=6.4440 alpha=90.00 beta=90.00 gamma=90.00
Element x y z (fractional)
V  0.2500  0.2500  0.2500
V  0.2500  0.2500  0.7500
V  0.2500  0.7500  0.2500
V  0.2500  0.7500  0.7500
V  0.7500  0.2500  0.2500
V  0.7500  0.2500  0.7500
V  0.7500  0.7500  0.2500
V  0.7500  0.7500  0.7500
Cd  0.0000  0.0000  0.0000
Cd  0.0000  0.5000  0.5000
Cd  0.5000  0.0000  0.5000
Cd  0.5000  0.5000  0.0000
O  0.0000  0.0000  0.5000
O  0.0000  0.5000  0.0000
O  0.5000  0.0000  0.0000
O  0.5000  0.5000  0.5000

(8)
An optimized crystal structure of V3Cd5O12, computed with GGA+U.

Space group: C2/c, No. 15
ρ, g cm⁻³: 5.181
Uncorrected energy, eV per atom: -5.7897

Unit cell a=9.4817 b=9.4817 c=7.1447 alpha=106.34 beta=106.34 gamma=95.23
Element x y z (fractional)
V  0.1572  0.3820  0.8654
V  0.1971  0.8029  0.7500
V  0.3820  0.1572  0.3654
V  0.6180  0.8428  0.6346
V  0.8029  0.1971  0.2500
V  0.8428  0.6180  0.1346
Cd  0.0000  0.0000  0.0000
Cd  0.0000  0.0000  0.5000
Cd  0.1386  0.4408  0.3737
Cd  0.2276  0.7724  0.2500
Cd  0.4408  0.1386  0.8737
Cd  0.4950  0.5050  0.2500
Cd  0.5050  0.4950  0.7500
Cd  0.5592  0.8614  0.1263
Cd  0.7724  0.2276  0.7500
Cd  0.8614  0.5592  0.6263
O  0.0136  0.7840  0.7629
O  0.0297  0.2104  0.7950
O  0.0995  0.4677  0.6831
O  0.1710  0.5084  0.1047
O  0.2104  0.0297  0.2950
O  0.2160  0.9864  0.7371
O  0.2226  0.6921  0.5272
O  0.3079  0.7774  0.9728
O  0.3444  0.3554  0.8842
O  0.3554  0.3444  0.3842
O  0.4677  0.0995  0.1831
O  0.4916  0.8290  0.3953
O  0.5084  0.1710  0.6047
O  0.5323  0.9005  0.8169
O  0.6446  0.6556  0.6158
O  0.6556  0.6446  0.1158
O  0.6921  0.2226  0.0272
O  0.7774  0.3079  0.4728
O  0.7840  0.0136  0.2629
O  0.7896  0.9703  0.7050
O  0.8290  0.4916  0.8953
O  0.9005  0.5323  0.3169
O  0.9703  0.7896  0.2050
O  0.9864  0.2160  0.2371

(9)
An optimized crystal structure of VCd2O2, computed with GGA+U.

Space group: P4/mbm, No. 127
ρ, g cm⁻³: 6.533
Energy above the most stable polymorph in this dataset, meV/atom: 0

Unit cell a=5.4765 b=5.4765 c=5.2163 alpha=90.00 beta=90.00 gamma=90.00
Element x y z (fractional)
V  0.0000  0.0000  0.0000
V  0.5000  0.5000  0.0000
Cd  0.1825  0.3175  0.5000
Cd  0.3175  0.8175  0.5000
Cd  0.6825  0.1825  0.5000
Cd  0.8175  0.6825  0.5000
O  0.2380  0.2620  0.0000
O  0.2620  0.7620  0.0000
O  0.7380  0.2380  0.0000
O  0.7620  0.7380  0.0000

(10)
An optimized crystal structure of V3CdO7, computed with GGA+U.

Space group: Pnma, No. 62
ρ, g cm⁻³: 4.168
Uncorrected energy, eV per atom: -7.0922

Unit cell a=10.6871 b=10.4555 c=5.3801 alpha=90.00 beta=90.00 gamma=90.00
Element x y z (fractional)
V  0.1864  0.0244  0.2053
V  0.1864  0.4756  0.2053
V  0.2161  0.2500  0.6970
V  0.2839  0.7500  0.1970
V  0.3136  0.5244  0.7053
V  0.3136  0.9756  0.7053
V  0.6864  0.0244  0.2947
V  0.6864  0.4756  0.2947
V  0.7161  0.2500  0.8030
V  0.7839  0.7500  0.3030
V  0.8136  0.5244  0.7947
V  0.8136  0.9756  0.7947
Cd  0.0777  0.7500  0.6785
Cd  0.4223  0.2500  0.1785
Cd  0.5777  0.7500  0.8215
Cd  0.9223  0.2500  0.3215
O  0.0406  0.0793  0.2224
O  0.0406  0.4207  0.2224
O  0.0611  0.2500  0.6809
O  0.2187  0.6182  0.9647
O  0.2187  0.8818  0.9647
O  0.2215  0.6190  0.4405
O  0.2215  0.8810  0.4405
O  0.2785  0.1190  0.9405
O  0.2785  0.3810  0.9405
O  0.2813  0.1182  0.4647
O  0.2813  0.3818  0.4647
O  0.4389  0.7500  0.1809
O  0.4594  0.5793  0.7224
O  0.4594  0.9207  0.7224
O  0.5406  0.0793  0.2776
O  0.5406  0.4207  0.2776
O  0.5611  0.2500  0.8191
O  0.7187  0.6182  0.5353
O  0.7187  0.8818  0.5353
O  0.7215  0.6190  0.0595
O  0.7215  0.8810  0.0595
O  0.7785  0.1190  0.5595
O  0.7785  0.3810  0.5595
O  0.7813  0.1182  0.0353
O  0.7813  0.3818  0.0353
O  0.9389  0.7500  0.3191
O  0.9594  0.5793  0.7776
O  0.9594  0.9207  0.7776

(11)
An optimized crystal structure of VCd3O, computed with GGA+U.

Space group: Pm-3m, No. 221
ρ, g cm⁻³: 3.932
Energy above the most stable polymorph in this dataset, meV/atom: 874

Unit cell a=5.5472 b=5.5472 c=5.5472 alpha=90.00 beta=90.00 gamma=90.00
Element x y z (fractional)
V  0.0000  0.0000  0.0000
Cd  0.0000  0.0000  0.5000
Cd  0.0000  0.5000  0.0000
Cd  0.5000  0.0000  0.0000
O  0.5000  0.5000  0.5000

(12)
An optimized crystal structure of VCdO4, computed with GGA+U.

Space group: P2_1/c, No. 14
ρ, g cm⁻³: 5.163
Uncorrected energy, eV per atom: -5.9048

Unit cell a=5.7223 b=4.8895 c=5.4902 alpha=90.00 beta=107.81 gamma=90.00
Element x y z (fractional)
V  0.0000  0.0000  0.0000
V  0.0000  0.5000  0.5000
Cd  0.5000  0.0000  0.5000
Cd  0.5000  0.5000  0.0000
O  0.0955  0.2295  0.2927
O  0.0955  0.2705  0.7927
O  0.3166  0.6384  0.6011
O  0.3166  0.8616  0.1011
O  0.6834  0.1384  0.8989
O  0.6834  0.3616  0.3989
O  0.9045  0.7295  0.2073
O  0.9045  0.7705  0.7073

Ordered volume results: 16.054; 14.083; 20.184; 16.264; 16.516; 15.710; 16.724; 14.532; 15.645; 13.663; 34.139; 12.188; unit Å³/atom.